# Ho2ErNi9 | the Alexandria database | PBE-GGA | relaxed
data_Ho2ErNi9
_cell_length_a 4.9449
_cell_length_b 4.9449
_cell_length_c 24.2778
_cell_angle_alpha 90.00
_cell_angle_beta 90.00
_cell_angle_gamma 120.00
_symmetry_space_group_name_H-M 'R -3 m'
_symmetry_Int_Tables_number 166
_symmetry_space_group_name_Hall '-R 3 2"'
loop_
_atom_site_label
_atom_site_type_symbol
_atom_site_fract_x
_atom_site_fract_y
_atom_site_fract_z
_atom_site_occupancy
Ho1 Ho 0.0000 0.0000 0.1388 1
Er1 Er 0.0000 0.0000 0.0000 1
Ni1 Ni 0.0000 0.0000 0.3331 1
Ni2 Ni 0.0000 0.0000 0.5000 1
Ni3 Ni 0.0011 0.5006 0.9180 1
# energy of formation from the pure elements	-427	meV per atom